1.
Material: Ce4Y2C
Method: DFT, PBE
State: relaxed

Unit cell a=9.1066 b=9.1066 c=9.1066 alpha=148.49 beta=148.49 gamma=45.16
Sites, in units of the cell vectors:
Ce: 0.0000 0.5000 0.5000
Ce: 0.1401 0.1401 0.0000
Ce: 0.5000 0.0000 0.5000
Ce: 0.8599 0.8599 0.0000
Y: 0.3403 0.3403 0.0000
Y: 0.6597 0.6597 0.0000
C: 0.0000 0.0000 0.0000

Computed properties:
Total DFT energy (no corrections) (eV per atom): -6.35
Density of states at the Fermi level (states/eV/f.u.): 19.8
SG: I4/mmm, No. 139
Energy of formation from the pure elements (eV/atom): 0.20

=====

2.
Material: Ce3YC
Method: DFT, PBE
State: relaxed

Unit cell a=5.0364 b=5.0364 c=5.0364 alpha=90.00 beta=90.00 gamma=90.00
Sites, in units of the cell vectors:
Ce: 0.0000 0.0000 0.5000
Ce: 0.0000 0.5000 0.0000
Ce: 0.5000 0.0000 0.0000
Y: 0.5000 0.5000 0.5000
C: 0.0000 0.0000 0.0000

Computed properties:
Total DFT energy (no corrections) (eV per atom): -6.69
Density of states at the Fermi level (states/eV/f.u.): 10.3
SG: Pm-3m, No. 221
Energy of formation from the pure elements (eV/atom): 0.01

=====

3.
Material: CeYC2
Method: DFT, PBE
State: relaxed

Unit cell a=6.3414 b=6.3414 c=6.3414 alpha=33.04 beta=33.04 gamma=33.04
Sites, in units of the cell vectors:
Ce: 0.0000 0.0000 0.0000
Y: 0.1697 0.1697 0.1697
C: 0.4102 0.4102 0.4102
C: 0.5836 0.5836 0.5836

Computed properties:
Total DFT energy (no corrections) (eV per atom): -7.60
Energy relative to the lowest polymorph listed for this composition (meV per atom): 128
Density of states at the Fermi level (states/eV/f.u.): 4.6
SG: R3m, No. 160
Energy of formation from the pure elements (eV/atom): 0.11

=====

4.
Material: CeY3C2
Method: DFT, PBE
State: relaxed

Unit cell a=8.3652 b=8.3652 c=12.4937 alpha=129.50 beta=129.50 gamma=24.82
Sites, in units of the cell vectors:
Ce: 0.1403 0.1403 0.1977
Ce: 0.8597 0.8597 0.8023
Y: 0.1370 0.1370 0.6961
Y: 0.3578 0.3578 0.0487
Y: 0.3604 0.3604 0.5535
Y: 0.6396 0.6396 0.4465
Y: 0.6422 0.6422 0.9513
Y: 0.8630 0.8630 0.3039
C: 0.2506 0.2506 0.6273
C: 0.2518 0.2518 0.1282
C: 0.7482 0.7482 0.8718
C: 0.7494 0.7494 0.3727

Computed properties:
Total DFT energy (no corrections) (eV per atom): -7.54
Density of states at the Fermi level (states/eV/f.u.): 6.4
SG: C2/m, No. 12
Energy of formation from the pure elements (eV/atom): -0.24

=====

5.
Material: Ce2YC2
Method: DFT, PBE
State: relaxed

Unit cell a=6.2998 b=6.2998 c=7.2405 alpha=107.65 beta=107.65 gamma=49.04
Sites, in units of the cell vectors:
Ce: 0.0021 0.0021 0.2405
Ce: 0.3347 0.3347 0.9187
Ce: 0.6653 0.6653 0.0813
Ce: 0.9979 0.9979 0.7595
Y: 0.3404 0.3404 0.4096
Y: 0.6596 0.6596 0.5904
C: 0.1588 0.1588 0.0819
C: 0.4961 0.4961 0.2461
C: 0.5039 0.5039 0.7539
C: 0.8412 0.8412 0.9181

Computed properties:
Total DFT energy (no corrections) (eV per atom): -7.49
Density of states at the Fermi level (states/eV/f.u.): 6.7
SG: C2/m, No. 12
Energy of formation from the pure elements (eV/atom): -0.13

=====

6.
Material: CeYC2
Method: DFT, PBE
State: relaxed

Unit cell a=6.2728 b=6.2728 c=6.2728 alpha=33.83 beta=33.83 gamma=33.83
Sites, in units of the cell vectors:
Ce: 0.0000 0.0000 0.0000
Y: 0.5000 0.5000 0.5000
C: 0.2530 0.2530 0.2530
C: 0.7470 0.7470 0.7470

Computed properties:
Total DFT energy (no corrections) (eV per atom): -7.73
Energy relative to the lowest polymorph listed for this composition (meV per atom): 0
Density of states at the Fermi level (states/eV/f.u.): 8.4
SG: R-3m, No. 166
Energy of formation from the pure elements (eV/atom): -0.02

=====

7.
Material: Ce2YZnC
Method: DFT, PBE
State: relaxed

Unit cell a=4.9007 b=4.9007 c=4.9253 alpha=90.00 beta=90.00 gamma=90.00
Sites, in units of the cell vectors:
Ce: 0.0000 0.5000 0.0000
Ce: 0.5000 0.0000 0.0000
Y: 0.0000 0.0000 0.5000
Zn: 0.5000 0.5000 0.5000
C: 0.0000 0.0000 0.0000

Computed properties:
Total DFT energy (no corrections) (eV per atom): -5.91
Density of states at the Fermi level (states/eV/f.u.): 9.5
SG: P4/mmm, No. 123
Energy of formation from the pure elements (eV/atom): -0.14

=====

8.
Material: Ce6Zn2C
Method: DFT, PBE
State: relaxed

Unit cell a=6.3995 b=6.2505 c=11.7827 alpha=90.00 beta=118.34 gamma=90.00
Sites, in units of the cell vectors:
Ce: 0.1778 0.0656 0.2305
Ce: 0.1778 0.4344 0.7305
Ce: 0.2255 0.1688 0.4702
Ce: 0.2255 0.3312 0.9702
Ce: 0.3200 0.7325 0.5126
Ce: 0.3200 0.7675 0.0126
Ce: 0.6800 0.2325 0.9874
Ce: 0.6800 0.2675 0.4874
Ce: 0.7745 0.6688 0.0298
Ce: 0.7745 0.8312 0.5298
Ce: 0.8222 0.5656 0.2695
Ce: 0.8222 0.9344 0.7695
Zn: 0.3063 0.5563 0.2558
Zn: 0.3063 0.9437 0.7558
Zn: 0.6937 0.0563 0.2442
Zn: 0.6937 0.4437 0.7442
C: 0.0000 0.0000 0.0000
C: 0.0000 0.5000 0.5000

Computed properties:
Total DFT energy (no corrections) (eV per atom): -5.39
Density of states at the Fermi level (states/eV/f.u.): 19.4
SG: P2_1/c, No. 14
Energy of formation from the pure elements (eV/atom): -0.12

=====

The lowest density of states at the Fermi level belongs to which entry?
number 3